Entry one
A relaxed structure of SbTe2PtPb. Source: Alexandria, functional PBE-GGA.

Output
For the total magnetization, the calculation gives 0.0 μB per cell.

Cell: 5.707 5.707 5.767 Å, 90.00 90.00 90.00°
Sites, in units of the cell vectors:
Sb 0.000 0.000 0.000
Te 0.000 0.500 0.500
Te 0.500 0.000 0.500
Pt 0.500 0.500 0.000
Pb 0.000 0.000 0.500

Entry two
A relaxed structure of SbTe2PtPb. Source: Alexandria, functional PBE-GGA.

Output
For the total magnetization, the calculation gives 0.0 μB per cell.

Cell: 5.556 5.556 5.056 Å, 90.00 90.00 90.00°
Sites, in units of the cell vectors:
Sb 0.000 0.000 0.000
Te 0.000 0.500 0.500
Te 0.500 0.000 0.500
Pt 0.000 0.000 0.500
Pb 0.500 0.500 0.000

Energetically preferred structure: entry two | next structure: +1.193 eV/atom

Entry one
A relaxed structure of Sc3PtPb. Source: Alexandria, functional PBE-GGA.

Output
For the total magnetization, the calculation gives 1.1 μB per cell.

Cell: 5.287 5.287 5.287 Å, 90.00 90.00 90.00°
Sites, in units of the cell vectors:
Sc 0.000 0.000 0.500
Sc 0.000 0.500 0.000
Sc 0.500 0.000 0.000
Pt 0.500 0.500 0.500
Pb 0.000 0.000 0.000

Entry two
A relaxed structure of Sc3PtPb. Source: Alexandria, functional PBE-GGA.

Output
For the total magnetization, the calculation gives 0.0 μB per cell.

Cell: 5.092 5.092 5.092 Å, 90.00 90.00 90.00°
Sites, in units of the cell vectors:
Sc 0.000 0.000 0.500
Sc 0.000 0.500 0.000
Sc 0.500 0.000 0.000
Pt 0.000 0.000 0.000
Pb 0.500 0.500 0.500

Energetically preferred structure: entry two | next structure: +1.084 eV/atom

Entry one
A relaxed structure of Sc2PtPb2. Source: Alexandria, functional PBE-GGA.

Output
For the total magnetization, the calculation gives 0.0 μB per cell.

Cell: 7.044 7.044 4.899 Å, 90.00 90.00 90.00°
Sites, in units of the cell vectors:
Sc 0.161 0.339 0.000
Sc 0.339 0.839 0.000
Sc 0.661 0.161 0.000
Sc 0.839 0.661 0.000
Pt 0.000 0.000 0.000
Pt 0.500 0.500 0.000
Pb 0.162 0.662 0.500
Pb 0.338 0.162 0.500
Pb 0.662 0.838 0.500
Pb 0.838 0.338 0.500

Entry two
A relaxed structure of Sc2PtPb2. Source: Alexandria, functional PBE-GGA.

Output
For the total magnetization, the calculation gives 0.0 μB per cell.

Cell: 7.216 7.216 4.449 Å, 90.00 90.00 90.00°
Sites, in units of the cell vectors:
Sc 0.163 0.337 0.000
Sc 0.337 0.837 0.000
Sc 0.663 0.163 0.000
Sc 0.837 0.663 0.000
Pt 0.000 0.000 0.500
Pt 0.500 0.500 0.500
Pb 0.148 0.648 0.500
Pb 0.352 0.148 0.500
Pb 0.648 0.852 0.500
Pb 0.852 0.352 0.500

Entry three
A relaxed structure of Sc2PtPb2. Source: Alexandria, functional PBE-GGA.

Output
For the total magnetization, the calculation gives 0.0 μB per cell.

Cell: 4.051 4.051 15.587 Å, 90.00 90.00 90.00°
Sites, in units of the cell vectors:
Sc 0.000 0.000 0.092
Sc 0.000 0.000 0.908
Sc 0.500 0.500 0.408
Sc 0.500 0.500 0.592
Pt 0.000 0.000 0.500
Pt 0.500 0.500 0.000
Pb 0.000 0.500 0.250
Pb 0.000 0.500 0.750
Pb 0.500 0.000 0.250
Pb 0.500 0.000 0.750

Energetically preferred structure: entry one | next structure: +0.040 eV/atom

Entry one
A relaxed structure of Pt3PbSe. Source: Alexandria, functional PBE-GGA.

Output
For the total magnetization, the calculation gives 0.0 μB per cell.

Cell: 4.788 4.788 4.788 Å, 90.00 90.00 90.00°
Sites, in units of the cell vectors:
Pt 0.000 0.000 0.500
Pt 0.000 0.500 0.000
Pt 0.500 0.000 0.000
Pb 0.500 0.500 0.500
Se 0.000 0.000 0.000

Entry two
A relaxed structure of Pt3PbSe. Source: Alexandria, functional PBE-GGA.

Output
For the total magnetization, the calculation gives 0.0 μB per cell.

Cell: 5.068 5.068 5.068 Å, 90.00 90.00 90.00°
Sites, in units of the cell vectors:
Pt 0.000 0.000 0.500
Pt 0.000 0.500 0.000
Pt 0.500 0.000 0.000
Pb 0.000 0.000 0.000
Se 0.500 0.500 0.500

Energetically preferred structure: entry one | next structure: +1.059 eV/atom

Entry one
A relaxed structure of Sm4PtPb. Source: Alexandria, functional PBE-GGA.

Output
For the total magnetization, the calculation gives 0.0 μB per cell.

Cell: 6.278 6.929 8.878 Å, 90.00 110.50 90.00°
Sites, in units of the cell vectors:
Sm 0.015 0.002 0.219
Sm 0.015 0.498 0.219
Sm 0.398 0.250 0.626
Sm 0.421 0.250 0.082
Sm 0.579 0.750 0.918
Sm 0.602 0.750 0.374
Sm 0.985 0.502 0.781
Sm 0.985 0.998 0.781
Pt 0.243 0.750 0.061
Pt 0.757 0.250 0.939
Pb 0.229 0.750 0.556
Pb 0.771 0.250 0.444

Entry two
A relaxed structure of Sm4PtPb. Source: Alexandria, functional PBE-GGA.

Output
For the total magnetization, the calculation gives 0.0 μB per cell.

Cell: 8.306 8.306 6.288 Å, 103.41 103.41 113.22°
Sites, in units of the cell vectors:
Sm 0.064 0.708 0.927
Sm 0.208 0.354 0.668
Sm 0.292 0.936 0.573
Sm 0.354 0.208 0.168
Sm 0.646 0.792 0.832
Sm 0.708 0.064 0.427
Sm 0.792 0.646 0.332
Sm 0.936 0.292 0.073
Pt 0.000 0.000 0.250
Pt 0.000 0.000 0.750
Pb 0.375 0.625 0.250
Pb 0.625 0.375 0.750

Energetically preferred structure: entry one | next structure: +0.051 eV/atom

Entry one
A relaxed structure of Sr2PtPb2. Source: Alexandria, functional PBE-GGA.

Output
For the total magnetization, the calculation gives 0.0 μB per cell.

Cell: 6.402 6.402 11.973 Å, 114.53 114.53 44.11°
Sites, in units of the cell vectors:
Sr 0.001 0.001 0.330
Sr 0.187 0.187 0.121
Sr 0.813 0.813 0.879
Sr 0.999 0.999 0.670
Pt 0.284 0.284 0.667
Pt 0.716 0.716 0.333
Pb 0.339 0.339 0.448
Pb 0.475 0.475 0.118
Pb 0.525 0.525 0.882
Pb 0.661 0.661 0.552

Entry two
A relaxed structure of Sr2PtPb2. Source: Alexandria, functional PBE-GGA.

Output
For the total magnetization, the calculation gives 0.0 μB per cell.

Cell: 6.594 6.594 8.294 Å, 90.00 90.00 90.00°
Sites, in units of the cell vectors:
Sr 0.000 0.500 0.250
Sr 0.000 0.500 0.750
Sr 0.500 0.000 0.250
Sr 0.500 0.000 0.750
Pt 0.000 0.000 0.000
Pt 0.500 0.500 0.500
Pb 0.000 0.000 0.324
Pb 0.000 0.000 0.676
Pb 0.500 0.500 0.176
Pb 0.500 0.500 0.824

Energetically preferred structure: entry one | next structure: +0.503 eV/atom

Entry one
A relaxed structure of SrPt3Pb3. Source: Alexandria, functional PBE-GGA.

Output
For the total magnetization, the calculation gives 0.0 μB per cell.

Cell: 9.509 9.509 4.684 Å, 90.00 90.00 120.00°
Sites, in units of the cell vectors:
Sr 0.333 0.667 0.250
Sr 0.667 0.333 0.750
Pt 0.046 0.600 0.750
Pt 0.400 0.446 0.750
Pt 0.446 0.046 0.250
Pt 0.554 0.954 0.750
Pt 0.600 0.554 0.250
Pt 0.954 0.400 0.250
Pb 0.053 0.302 0.750
Pb 0.249 0.947 0.750
Pb 0.302 0.249 0.250
Pb 0.698 0.751 0.750
Pb 0.751 0.053 0.250
Pb 0.947 0.698 0.250

Entry two
A relaxed structure of SrPt3Pb3. Source: Alexandria, functional PBE-GGA.

Output
For the total magnetization, the calculation gives 0.0 μB per cell.

Cell: 7.594 7.594 7.594 Å, 90.00 90.00 90.00°
Sites, in units of the cell vectors:
Sr 0.000 0.000 0.000
Sr 0.500 0.500 0.500
Pt 0.000 0.250 0.500
Pt 0.000 0.750 0.500
Pt 0.250 0.500 0.000
Pt 0.500 0.000 0.250
Pt 0.500 0.000 0.750
Pt 0.750 0.500 0.000
Pb 0.000 0.500 0.250
Pb 0.000 0.500 0.750
Pb 0.250 0.000 0.500
Pb 0.500 0.250 0.000
Pb 0.500 0.750 0.000
Pb 0.750 0.000 0.500

Energetically preferred structure: entry one | next structure: +0.330 eV/atom

Entry one
A relaxed structure of SrPt3Pb. Source: Alexandria, functional PBE-GGA.

Output
For the total magnetization, the calculation gives 0.0 μB per cell.

Cell: 5.279 5.279 5.279 Å, 90.00 90.00 90.00°
Sites, in units of the cell vectors:
Sr 0.000 0.000 0.000
Pt 0.000 0.000 0.500
Pt 0.000 0.500 0.000
Pt 0.500 0.000 0.000
Pb 0.500 0.500 0.500

Entry two
A relaxed structure of SrPt3Pb. Source: Alexandria, functional PBE-GGA.

Output
For the total magnetization, the calculation gives 0.0 μB per cell.

Cell: 5.143 5.143 5.143 Å, 90.00 90.00 90.00°
Sites, in units of the cell vectors:
Sr 0.000 0.000 0.000
Pt 0.000 0.500 0.500
Pt 0.500 0.000 0.500
Pt 0.500 0.500 0.000
Pb 0.500 0.500 0.500

Energetically preferred structure: entry two | next structure: +0.937 eV/atom